No. 1
CeHf2Sc | GGA-PBE | optimized geometry

Results
For the energy relative to the lowest polymorph listed for this composition, the calculation gives 25 meV per atom.

CIF file:
```
data_CeHf2Sc
_symmetry_space_group_name_H-M 'P 4/m m m'
_symmetry_Int_Tables_number 123
_symmetry_space_group_name_Hall '-P 4 2'
_cell_length_a 4.582
_cell_length_b 4.582
_cell_length_c 4.571
_cell_angle_alpha 90.00
_cell_angle_beta 90.00
_cell_angle_gamma 90.00
loop_
_atom_site_label
_atom_site_type_symbol
_atom_site_fract_x
_atom_site_fract_y
_atom_site_fract_z
Ce1 Ce 0.000 0.000 0.000
Hf1 Hf 0.000 0.500 0.500
Sc1 Sc 0.500 0.500 0.000
```



No. 2
CeHf2Sc2 | GGA-PBE | optimized geometry

CIF file:
```
data_CeHf2Sc2
_symmetry_space_group_name_H-M 'R -3 m'
_symmetry_Int_Tables_number 166
_symmetry_space_group_name_Hall '-R 3 2"'
_cell_length_a 3.2253
_cell_length_b 3.2253
_cell_length_c 39.9747
_cell_angle_alpha 90.00
_cell_angle_beta 90.00
_cell_angle_gamma 120.00
loop_
_atom_site_label
_atom_site_type_symbol
_atom_site_fract_x
_atom_site_fract_y
_atom_site_fract_z
Ce1 Ce 0.0000 0.0000 0.0000
Hf1 Hf 0.0000 0.0000 0.1975
Sc1 Sc 0.0000 0.0000 0.4037
```



No. 3
CeHf2Sc6 | GGA-PBE | optimized geometry

CIF file:
```
data_CeHf2Sc6
_symmetry_space_group_name_H-M 'C 1 2/c 1'
_symmetry_Int_Tables_number 15
_symmetry_space_group_name_Hall '-C 2yc'
_cell_length_a 26.287
_cell_length_b 6.371
_cell_length_c 5.479
_cell_angle_alpha 90.00
_cell_angle_beta 90.27
_cell_angle_gamma 90.00
loop_
_atom_site_label
_atom_site_type_symbol
_atom_site_fract_x
_atom_site_fract_y
_atom_site_fract_z
Ce1 Ce 0.000 0.221 0.250
Hf1 Hf 0.199 0.380 0.075
Sc1 Sc 0.090 0.373 0.749
Sc2 Sc 0.109 0.125 0.247
Sc3 Sc 0.203 0.127 0.589
```



No. 4
Ce2HfSc12 | GGA-PBE | optimized geometry

CIF file:
```
data_Ce2HfSc12
_symmetry_space_group_name_H-M 'P 4/n b m'
_symmetry_Int_Tables_number 125
_cell_length_a 5.915
_cell_length_b 5.915
_cell_length_c 22.989
_cell_angle_alpha 90.00
_cell_angle_beta 90.00
_cell_angle_gamma 90.00
loop_
_symmetry_equiv_pos_as_xyz
'x,y,z'
'-x,-y,-z'
'-y+1/2,x,z'
'y+1/2,-x,-z'
'-x+1/2,-y+1/2,z'
'x+1/2,y+1/2,-z'
'y,-x+1/2,z'
'-y,x+1/2,-z'
'x,-y+1/2,-z'
'-x,y+1/2,z'
'-y+1/2,-x+1/2,-z'
'y+1/2,x+1/2,z'
'-x+1/2,y,-z'
'x+1/2,-y,z'
'y,x,-z'
'-y,-x,z'
loop_
_atom_site_label
_atom_site_type_symbol
_atom_site_fract_x
_atom_site_fract_y
_atom_site_fract_z
Ce1 Ce 0.250 0.750 0.229
Hf1 Hf 0.250 0.750 0.500
Sc1 Sc 0.001 0.501 0.397
Sc2 Sc 0.080 0.580 0.939
Sc3 Sc 0.250 0.250 0.161
Sc4 Sc 0.250 0.250 0.292
```



No. 5
CeHf2Sc | GGA-PBE | optimized geometry

Results
For the energy relative to the lowest polymorph listed for this composition, the calculation gives 0 meV per atom.

CIF file:
```
data_CeHf2Sc
_symmetry_space_group_name_H-M 'R 3 m'
_symmetry_Int_Tables_number 160
_symmetry_space_group_name_Hall 'R 3 -2"'
_cell_length_a 3.2573
_cell_length_b 3.2573
_cell_length_c 31.3952
_cell_angle_alpha 90.00
_cell_angle_beta 90.00
_cell_angle_gamma 120.00
loop_
_atom_site_label
_atom_site_type_symbol
_atom_site_fract_x
_atom_site_fract_y
_atom_site_fract_z
Ce1 Ce 0.0000 0.0000 0.0000
Hf1 Hf 0.0000 0.0000 0.4185
Hf2 Hf 0.0000 0.0000 0.5802
Sc1 Sc 0.0000 0.0000 0.1657
```



No. 6
CeSmHfSc | GGA-PBE | optimized geometry

CIF file:
```
data_CeSmHfSc
_symmetry_space_group_name_H-M 'F -4 3 m'
_symmetry_Int_Tables_number 216
_symmetry_space_group_name_Hall 'F -4 2 3'
_cell_length_a 7.546
_cell_length_b 7.546
_cell_length_c 7.546
_cell_angle_alpha 90.00
_cell_angle_beta 90.00
_cell_angle_gamma 90.00
loop_
_atom_site_label
_atom_site_type_symbol
_atom_site_fract_x
_atom_site_fract_y
_atom_site_fract_z
Ce1 Ce 0.000 0.000 0.000
Sm1 Sm 0.000 0.000 0.500
Hf1 Hf 0.250 0.250 0.250
Sc1 Sc 0.250 0.250 0.750
```



No. 7
CeHf2Zr4Sc | GGA-PBE | optimized geometry

CIF file:
```
data_CeHf2Zr4Sc
_symmetry_space_group_name_H-M 'P 1 2/m 1'
_symmetry_Int_Tables_number 10
_symmetry_space_group_name_Hall '-P 2y'
_cell_length_a 5.383
_cell_length_b 5.375
_cell_length_c 6.466
_cell_angle_alpha 90.00
_cell_angle_beta 90.09
_cell_angle_gamma 90.00
loop_
_atom_site_label
_atom_site_type_symbol
_atom_site_fract_x
_atom_site_fract_y
_atom_site_fract_z
Ce1 Ce 0.000 0.000 0.000
Hf1 Hf 0.000 0.000 0.500
Hf2 Hf 0.500 0.500 0.000
Zr1 Zr 0.000 0.500 0.238
Zr2 Zr 0.500 0.000 0.238
Sc1 Sc 0.500 0.500 0.500
```



No. 8
CeHfZrSc | GGA-PBE | optimized geometry

CIF file:
```
data_CeHfZrSc
_symmetry_space_group_name_H-M 'F -4 3 m'
_symmetry_Int_Tables_number 216
_symmetry_space_group_name_Hall 'F -4 2 3'
_cell_length_a 7.287
_cell_length_b 7.287
_cell_length_c 7.287
_cell_angle_alpha 90.00
_cell_angle_beta 90.00
_cell_angle_gamma 90.00
loop_
_atom_site_label
_atom_site_type_symbol
_atom_site_fract_x
_atom_site_fract_y
_atom_site_fract_z
Ce1 Ce 0.000 0.000 0.000
Hf1 Hf 0.250 0.250 0.750
Zr1 Zr 0.000 0.000 0.500
Sc1 Sc 0.250 0.250 0.250
```



Number 1: total energy -0.5825 Ry per atom, formation enthalpy at 0 K 118 meV per atom. Number 2: total energy -0.5609 Ry per atom, formation enthalpy at 0 K 70 meV per atom. Number 3: total energy -0.5069 Ry per atom, formation enthalpy at 0 K 195 meV per atom. Number 4: total energy -0.4467 Ry per atom, formation enthalpy at 0 K 443 meV per atom. Number 5: total energy -0.5844 Ry per atom, formation enthalpy at 0 K 93 meV per atom. Number 6: total energy -0.4794 Ry per atom, formation enthalpy at 0 K 212 meV per atom. Number 7: total energy -0.6007 Ry per atom, formation enthalpy at 0 K 123 meV per atom. Number 8: total energy -0.5545 Ry per atom, formation enthalpy at 0 K 148 meV per atom.